Density functional theory data (GGA-PBE) for a geometry-optimized Al3Sb structure.

Lattice parameters (Å, degrees): 4.2508 6.0178 6.3586 90.00 90.00 90.00
With the nearest neighbours (Å) after each atom.
Positions (direct):
1 Sb 0.5000 0.5000 0.3985  10 Al 3.03-3.34
2 Al 0.0000 0.7332 0.1414  6 Al 2.76-2.87, 2 Sb 3.03
3 Al 0.0000 0.2668 0.1414  6 Al 2.76-2.87, 2 Sb 3.03
4 Al 0.5000 0.0000 0.2524  6 Al 2.76-2.87, 2 Sb 3.07
5 Al 0.5000 0.2332 0.8586  6 Al 2.76-2.87, 2 Sb 3.03
6 Al 0.0000 0.5000 0.7476  6 Al 2.76-2.87, 2 Sb 3.07
7 Sb 0.0000 0.0000 0.6015  10 Al 3.03-3.34
8 Al 0.5000 0.7668 0.8586  6 Al 2.76-2.87, 2 Sb 3.03

Values from the calculation:
- Theoretical density: 4.14 g cm⁻³
- SG: Pmmn (59)
- Uncorrected formation energy: 148 meV/atom